Model P:
Mg2SeBr: optimized geometry, GGA-PBEsol.

```
Mg2SeBr
1.0
-3.870 1.347 0.101
-2.615 -1.054 -2.975
-4.272 -6.273 3.154
Se Br Mg
1 1 2
direct
0.468 0.468 0.596 Se
0.269 0.269 0.192 Br
0.771 0.771 0.687 Mg
0.992 0.992 0.025 Mg
```

## Properties
- Total magnetization: 0.90 μB per formula unit



Model Q:
Mg2SeBr: optimized geometry, GGA-PBEsol.

```
Mg2SeBr
1.0
-2.229 -2.030 -2.289
-2.712 -3.833 2.651
-4.715 2.436 -0.957
Se Mg Br
1 2 1
direct
0.000 0.000 0.000 Se
0.000 0.000 0.500 Mg
0.000 0.500 0.000 Mg
0.000 0.500 0.500 Br
```

## Properties
- Total magnetization: 0.00 μB per formula unit



In kJ/mol of atoms, relative to the most stable structure: model P 0.9; model Q 0.0.